Record 1
# BeFe3Se

A PBEsol-optimized structure of BeFe3Se (SCAN, the Alexandria database).

Cell and atoms, written as extended XYZ:
```
5
Lattice="-3.742 -1.471 -1.347 0.875 -3.784 1.702 -1.792 1.224 3.643" Properties=species:S:1:pos:R:3 pbc="T T T"
Be -2.330 -2.015 1.999
Fe 0.437 -1.892 0.851
Fe -0.896 0.612 1.822
Fe -1.871 -0.735 -0.673
Se 0.000 0.000 0.000
```

Summary:
SG: Pm-3m (221)
Energy relative to the lowest polymorph listed for this composition: 379 meV/atom
Density: 5.6 g cm⁻³
Formation energy from raw total energies: 942 meV/atom

=====

Record 2
# BeFeSe2

A PBEsol-optimized structure of BeFeSe2 (SCAN, the Alexandria database).

Cell and atoms, written as extended XYZ:
```
8
Lattice="5.418 0.000 0.000 0.000 5.418 0.000 -2.709 -2.709 5.203" Properties=species:S:1:pos:R:3 pbc="T T T"
Be 2.709 2.709 0.000
Se 1.355 1.195 3.903
Fe 0.000 2.709 2.602
Se 1.514 4.064 1.301
Se -1.355 -1.195 3.903
Fe 0.000 0.000 0.000
Be 2.709 0.000 2.602
Se 3.904 1.355 1.301
```

Summary:
SG: I-42d (122)
Density: 4.8 g cm⁻³
Formation energy from raw total energies: -548 meV/atom

=====

Record 3
# BeFeSe2

A PBEsol-optimized structure of BeFeSe2 (SCAN, the Alexandria database).

Cell and atoms, written as extended XYZ:
```
4
Lattice="-0.720 -2.963 -0.769 2.653 -1.031 1.490 -4.236 1.389 5.039" Properties=species:S:1:pos:R:3 pbc="T T T"
Be -2.971 -0.552 4.907
Se -1.913 -1.770 2.181
Se -2.211 -2.588 5.608
Fe -0.780 -0.907 4.223
```

Summary:
SG: Imm2 (44)
Density: 5.8 g cm⁻³
Formation energy from raw total energies: -56 meV/atom